13
Lattice="3.764 0.000 0.000 -1.880 3.452 0.000 -0.007 -0.558 18.952" Properties=species:S:1:pos:R:3 comment="Cu6BiS6 (PBE, optimized geometry)" m_tot_mub_per_atom=0.00 final_energy_ev_per_atom=-4.27 dos_at_fermi_per_ev_fu=8.46 pbc="T T T"
Cu 0.000 0.000 0.000
Cu -0.020 -0.349 14.243
Cu -0.030 0.646 4.297
Cu -0.026 1.959 1.777
Cu -0.034 2.071 6.355
Cu 1.868 1.438 16.884
Bi 1.847 0.757 10.267
S -0.014 1.590 18.175
S -0.035 1.955 8.592
S 1.852 0.767 5.563
S 1.861 0.860 14.799
S 1.856 3.134 2.301
S 1.850 3.014 11.930

***

19
Lattice="8.853 -1.947 0.000 8.853 1.947 0.000 -3.875 0.000 12.333" Properties=species:S:1:pos:R:3 comment="Cu4Bi5S10 (PBE, optimized geometry)" m_tot_mub_per_atom=0.00 final_energy_ev_per_atom=-4.34 dos_at_fermi_per_ev_fu=9.67 pbc="T T T"
Cu 1.663 0.000 0.116
Cu 3.316 0.000 5.515
Cu 10.516 0.000 6.818
Cu 12.168 0.000 12.217
Bi -1.938 0.000 6.166
Bi 0.300 0.000 10.321
Bi 4.487 0.000 8.946
Bi 9.345 0.000 3.387
Bi 13.531 0.000 2.012
S -0.095 0.000 1.627
S 0.881 0.000 5.823
S 3.234 0.000 3.226
S 2.075 0.000 12.307
S 6.810 0.000 4.115
S 7.022 0.000 8.218
S 11.756 0.000 0.026
S 10.598 0.000 9.107
S 12.951 0.000 6.510
S 13.926 0.000 10.706

***

10
Lattice="7.824 0.000 0.000 0.000 7.824 0.000 0.000 0.000 3.591" Properties=species:S:1:pos:R:3 comment="Cu2Bi2S (PBE, optimized geometry)" m_tot_mub_per_atom=0.00 polymorph_energy_ev_per_atom=0.073 final_energy_ev_per_atom=-3.76 dos_at_fermi_per_ev_fu=1.98 pbc="T T T"
Cu 0.844 3.068 0.000
Cu 3.068 6.980 0.000
Cu 4.756 0.844 0.000
Cu 6.980 4.756 0.000
Bi 1.525 5.437 1.795
Bi 2.388 1.525 1.795
Bi 5.437 6.300 1.795
Bi 6.300 2.388 1.795
S 0.000 0.000 1.795
S 3.912 3.912 1.795

***

What did the third record say?
10
Lattice="7.824 0.000 0.000 0.000 7.824 0.000 0.000 0.000 3.591" Properties=species:S:1:pos:R:3 comment="Cu2Bi2S (PBE, optimized geometry)" m_tot_mub_per_atom=0.00 polymorph_energy_ev_per_atom=0.073 final_energy_ev_per_atom=-3.76 dos_at_fermi_per_ev_fu=1.98 pbc="T T T"
Cu 0.844 3.068 0.000
Cu 3.068 6.980 0.000
Cu 4.756 0.844 0.000
Cu 6.980 4.756 0.000
Bi 1.525 5.437 1.795
Bi 2.388 1.525 1.795
Bi 5.437 6.300 1.795
Bi 6.300 2.388 1.795
S 0.000 0.000 1.795
S 3.912 3.912 1.795